# 1
Zr3Ti4Tl2 (GGA-PBE, relaxed); final energy = -6.7777 eV per atom; energy relative to the elements = 0.11 eV per atom
1.0
4.173 -2.412 0.000
4.173 2.412 0.000
-0.009 0.000 8.943
Zr Ti Tl
3 4 2
Direct
0.000 0.000 0.000 Zr
0.334 0.334 0.562 Zr
0.666 0.666 0.438 Zr
0.001 0.001 0.660 Ti
0.334 0.334 0.899 Ti
0.666 0.666 0.101 Ti
0.999 0.999 0.340 Ti
0.333 0.333 0.220 Tl
0.667 0.667 0.780 Tl


# 2
Ba2TcSb (GGA-PBE, relaxed); final energy = -4.2928 eV per atom; formation energy without anion corrections = 28.0 kJ per mole of atoms
1.0
5.232 0.000 0.000
0.000 5.232 0.000
0.000 0.000 4.790
Ba Tc Sb
2 1 1
Direct
0.000 0.500 0.000 Ba
0.500 0.000 0.000 Ba
0.000 0.000 0.500 Tc
0.500 0.500 0.500 Sb


# 3
Rb (GGA-PBE, relaxed); final energy = -0.9676 eV per atom; energy relative to the elements = 0.00 eV per atom
1.0
4.983 0.000 0.000
-2.492 4.315 0.000
0.000 0.000 37.244
Rb
9
Direct
0.000 0.000 0.000 Rb
0.000 0.000 0.222 Rb
0.000 0.000 0.778 Rb
0.333 0.667 0.444 Rb
0.333 0.667 0.667 Rb
0.333 0.667 0.889 Rb
0.667 0.333 0.111 Rb
0.667 0.333 0.333 Rb
0.667 0.333 0.556 Rb


# 4
Mn2CoCuH (GGA-PBE, relaxed); final energy = -6.4963 eV per atom
1.0
3.935 0.000 0.000
0.000 3.935 0.000
0.000 0.000 3.398
Mn Co Cu H
2 1 1 1
Direct
0.000 0.500 0.000 Mn
0.500 0.000 0.000 Mn
0.000 0.000 0.500 Co
0.500 0.500 0.500 Cu
0.000 0.000 0.000 H


# 5
Ac2CuSi (GGA-PBE, relaxed); final energy = -4.8050 eV per atom; formation energy without anion corrections = -35.8 kJ per mole of atoms
1.0
6.387 0.000 0.000
0.000 4.292 0.000
-3.160 0.000 8.344
Ac Cu Si
4 2 2
Direct
0.200 0.250 0.410 Ac
0.281 0.750 0.053 Ac
0.719 0.250 0.947 Ac
0.800 0.750 0.590 Ac
0.198 0.250 0.764 Cu
0.802 0.750 0.236 Cu
0.358 0.750 0.709 Si
0.642 0.250 0.291 Si


# 6
Pr4Mg3Sc (GGA-PBE, relaxed); final energy = -3.8374 eV per atom; energy relative to the elements = -0.06 eV per atom
1.0
3.868 0.000 0.000
0.000 3.868 0.000
0.000 0.000 16.097
Pr Mg Sc
4 3 1
Direct
0.000 0.000 0.123 Pr
0.000 0.000 0.370 Pr
0.000 0.000 0.630 Pr
0.000 0.000 0.877 Pr
0.500 0.500 0.000 Mg
0.500 0.500 0.248 Mg
0.500 0.500 0.752 Mg
0.500 0.500 0.500 Sc


# 7
Ba2Y3Te6 (GGA-PBE, relaxed); final energy = -5.3774 eV per atom; formation energy without anion corrections = -149.7 kJ per mole of atoms
1.0
3.879 -6.722 0.000
3.879 6.722 0.000
-2.599 0.000 8.024
Ba Y Te
2 3 6
Direct
0.166 0.834 0.000 Ba
0.834 0.166 0.000 Ba
0.000 0.000 0.500 Y
0.332 0.668 0.500 Y
0.668 0.332 0.500 Y
0.078 0.406 0.718 Te
0.266 0.266 0.284 Te
0.406 0.078 0.718 Te
0.594 0.922 0.282 Te
0.734 0.734 0.716 Te
0.922 0.594 0.282 Te


# 8
Cs2NaHgH4 (GGA-PBE, relaxed); final energy = -2.0537 eV per atom
1.0
6.891 0.000 0.000
0.000 6.891 0.000
0.000 0.000 7.908
Cs Na Hg H
4 2 2 8
Direct
0.000 0.000 0.000 Cs
0.000 0.500 0.250 Cs
0.500 0.000 0.750 Cs
0.500 0.500 0.500 Cs
0.000 0.000 0.500 Na
0.500 0.500 0.000 Na
0.000 0.500 0.750 Hg
0.500 0.000 0.250 Hg
0.114 0.291 0.623 H
0.209 0.614 0.877 H
0.291 0.886 0.377 H
0.386 0.209 0.123 H
0.614 0.791 0.123 H
0.709 0.114 0.377 H
0.791 0.386 0.877 H
0.886 0.709 0.623 H


# 9
Sr2MoRh (GGA-PBE, relaxed); final energy = -4.6176 eV per atom; energy relative to the elements = 0.77 eV per atom
1.0
7.503 0.000 0.000
0.000 7.503 0.000
0.000 0.000 7.503
Sr Mo Rh
8 4 4
Direct
0.250 0.250 0.250 Sr
0.250 0.250 0.750 Sr
0.250 0.750 0.250 Sr
0.250 0.750 0.750 Sr
0.750 0.250 0.250 Sr
0.750 0.250 0.750 Sr
0.750 0.750 0.250 Sr
0.750 0.750 0.750 Sr
0.000 0.000 0.000 Mo
0.000 0.500 0.500 Mo
0.500 0.000 0.500 Mo
0.500 0.500 0.000 Mo
0.000 0.000 0.500 Rh
0.000 0.500 0.000 Rh
0.500 0.000 0.000 Rh
0.500 0.500 0.500 Rh


# 10
Pr2YLu (GGA-PBE, relaxed); final energy = -5.1156 eV per atom; energy relative to the elements = 0.02 eV per atom
1.0
5.151 0.000 0.000
0.000 5.151 0.000
0.000 0.000 5.025
Pr Y Lu
2 1 1
Direct
0.000 0.500 0.000 Pr
0.500 0.000 0.000 Pr
0.000 0.000 0.500 Y
0.500 0.500 0.500 Lu


# 11
CrReIr2 (GGA-PBE, relaxed); final energy = -10.2078 eV per atom; energy relative to the elements = -0.26 eV per atom
1.0
5.423 0.000 0.000
0.000 9.519 0.000
0.000 0.000 4.321
Cr Re Ir
4 4 8
Direct
0.000 0.078 0.250 Cr
0.000 0.922 0.750 Cr
0.500 0.422 0.750 Cr
0.500 0.578 0.250 Cr
0.000 0.417 0.750 Re
0.000 0.583 0.250 Re
0.500 0.083 0.250 Re
0.500 0.917 0.750 Re
0.245 0.163 0.750 Ir
0.245 0.837 0.250 Ir
0.255 0.337 0.250 Ir
0.255 0.663 0.750 Ir
0.745 0.337 0.250 Ir
0.745 0.663 0.750 Ir
0.755 0.163 0.750 Ir
0.755 0.837 0.250 Ir


# 12
Li3Ga4Au4 (GGA-PBE, relaxed); final energy = -3.1933 eV per atom; energy relative to the elements = -0.38 eV per atom
1.0
2.963 0.000 0.000
0.008 4.522 0.000
1.412 2.213 14.219
Li Ga Au
3 4 4
Direct
0.000 0.000 0.000 Li
0.140 0.638 0.722 Li
0.860 0.362 0.278 Li
0.267 0.269 0.464 Ga
0.408 0.911 0.182 Ga
0.592 0.089 0.818 Ga
0.733 0.731 0.536 Ga
0.318 0.819 0.362 Au
0.445 0.451 0.099 Au
0.555 0.549 0.901 Au
0.682 0.181 0.638 Au